DFT (PBE-GGA) results for a relaxed YZnNi2Ag crystal.

Density of states at the Fermi level, states/eV/cell: 3.78
Energy of formation, eV/atom: 1.212
ρ, g/cm³: 5.2

Lattice parameters (Å, degrees): 4.7369 5.4250 4.7369 90.00 90.00 90.00
Sites, in units of the cell vectors:
Y (0.0000, 0.0000, 0.0000)
Ni (0.0000, 0.0000, 0.5000)
Ni (0.5000, 0.0000, 0.0000)
Zn (0.5000, 0.5000, 0.5000)
Ag (0.0000, 0.5000, 0.0000)